Computed, not measured: a geometry-optimized FeAgSn2 structure at the PBE level of DFT.

a b c (Å): 6.963 6.963 6.963
angles (deg): 90.00 90.00 90.00
Sites, in units of the cell vectors:
Fe (0.000, 0.000, 0.000)
Fe (0.000, 0.500, 0.500)
Fe (0.500, 0.000, 0.500)
Fe (0.500, 0.500, 0.000)
Ag (0.250, 0.250, 0.250)
Ag (0.250, 0.750, 0.750)
Ag (0.750, 0.250, 0.750)
Ag (0.750, 0.750, 0.250)
Sn (0.000, 0.000, 0.500)
Sn (0.000, 0.500, 0.000)
Sn (0.250, 0.250, 0.750)
Sn (0.250, 0.750, 0.250)
Sn (0.500, 0.000, 0.000)
Sn (0.500, 0.500, 0.500)
Sn (0.750, 0.250, 0.250)
Sn (0.750, 0.750, 0.750)

Calculated values
Offset from the most stable computed form = 0 meV/atom
Total magnetization = 12.19 Bohr magnetons per cell